## ScSnSbTe2 (meta-GGA SCAN)

Data for a PBEsol-optimized structure of ScSnSbTe2.

Cell and atoms, written as CIF:
```
data_ScSnSbTe2
_symmetry_space_group_name_H-M 'P 4/m m m'
_symmetry_Int_Tables_number 123
_symmetry_space_group_name_Hall '-P 4 2'
_cell_length_a 5.431
_cell_length_b 5.431
_cell_length_c 5.425
_cell_angle_alpha 90.00
_cell_angle_beta 90.00
_cell_angle_gamma 90.00
loop_
_atom_site_label
_atom_site_fract_x
_atom_site_fract_y
_atom_site_fract_z
_atom_site_occupancy
Sc1 0.000 0.000 0.000 1
Sn1 0.500 0.500 0.500 1
Sb1 0.000 0.000 0.500 1
Te1 0.000 0.500 0.000 1
```

Properties
**Formation energy (no corrections)**: -22 meV/atom
**Electronic total energy**: -32.41 eV per atom